# GGA-PBE Ta2OsRu, optimized geometry
data_Ta2OsRu
_chemical_formula_sum 'Ta8 Os4 Ru4'
_cell_length_a 6.358
_cell_length_b 6.358
_cell_length_c 6.358
_cell_angle_alpha 90.00
_cell_angle_beta 90.00
_cell_angle_gamma 90.00
_symmetry_space_group_name_H-M 'F -4 3 m'
_symmetry_Int_Tables_number 216
_symmetry_space_group_name_Hall 'F -4 2 3'
loop_
_atom_site_label
_atom_site_fract_x
_atom_site_fract_y
_atom_site_fract_z
Ta1 0.000 0.000 0.000
Ta2 0.250 0.250 0.250
Os1 0.250 0.250 0.750
Ru1 0.000 0.000 0.500
# DOS(E_F), states/eV/f.u.: 5.597
# Volume, Å³ per atom: 16.1
# Crystal system: cubic
# ΔH_f (0 K), eV/atom: 0.007

***

# GGA-PBE Pu2Ga3Os, optimized geometry
data_Pu2Ga3Os
_chemical_formula_sum 'Pu6 Ga9 Os3'
_cell_length_a 5.4518
_cell_length_b 5.4518
_cell_length_c 13.0294
_cell_angle_alpha 90.00
_cell_angle_beta 90.00
_cell_angle_gamma 120.00
_symmetry_space_group_name_H-M 'R -3 m'
_symmetry_Int_Tables_number 166
_symmetry_space_group_name_Hall '-R 3 2"'
loop_
_atom_site_label
_atom_site_fract_x
_atom_site_fract_y
_atom_site_fract_z
Pu1 0.0000 0.0000 0.1239
Ga1 0.0000 0.5000 0.0000
Os1 0.0000 0.0000 0.5000
# DOS(E_F), states/eV/f.u.: 14.783
# Volume, Å³ per atom: 18.6
# Crystal system: trigonal
# ΔH_f (0 K), eV/atom: -0.310

***

# GGA-PBE La4PPtI2, optimized geometry
data_La4PPtI2
_chemical_formula_sum 'La4 P1 Pt1 I2'
_cell_length_a 7.751
_cell_length_b 4.222
_cell_length_c 8.199
_cell_angle_alpha 90.00
_cell_angle_beta 107.25
_cell_angle_gamma 90.00
_symmetry_space_group_name_H-M 'P 1 2/m 1'
_symmetry_Int_Tables_number 10
_symmetry_space_group_name_Hall '-P 2y'
loop_
_atom_site_label
_atom_site_fract_x
_atom_site_fract_y
_atom_site_fract_z
La1 0.223 0.000 0.202
La2 0.276 0.500 0.807
P1 0.000 0.500 0.000
Pt1 0.500 0.000 0.000
I1 0.000 0.000 0.500
I2 0.500 0.500 0.500
# Formation energy without anion corrections, eV per atom: -1.29
# DOS(E_F), states/eV/f.u.: 6.706
# Volume, Å³ per atom: 32.0
# Crystal system: monoclinic